Material: TaAs2Cl
Method: DFT, PBE
State: relaxed

Output
Total magnetization   0.00 μB per cell
Uncorrected formation energy   -0.11 eV per atom
Relative energy among the computed polymorphs   251 meV per atom

a = 8.2341 Å, b = 8.2341 Å, c = 8.2341 Å
α = 23.84°, β = 23.84°, γ = 23.84°
Positions (direct):
1 As 0.0104 0.0104 0.0104
2 As 0.4896 0.4896 0.4896
3 Cl 0.2500 0.2500 0.2500
4 Ta 0.7500 0.7500 0.7500